[1]
# SrNiSN2

A relaxed structure of SrNiSN2 (PBE, Alexandria via LeMat-Bulk).

## Properties
As for the polymorph energy (0 for the lowest one): 1563 meV/atom. The formation energy without anion corrections comes out at 1.893 eV/atom.

a = 4.7477 Å, b = 4.7477 Å, c = 5.8469 Å
α = 90.00°, β = 90.00°, γ = 90.00°
Space group P4/mmm (No. 123)
Inequivalent atoms, fractional coordinates:
Sr: 0.0000 0.0000 0.0000 [1 per cell]
Ni: 0.5000 0.5000 0.5000 [1 per cell]
S: 0.0000 0.0000 0.5000 [1 per cell]
N: 0.0000 0.5000 0.0000 [2 per cell]

---

[2]
# Os3PtW

A relaxed structure of Os3PtW (PBE, Alexandria via LeMat-Bulk).

## Properties
As for the polymorph energy (0 for the lowest one): 0 meV/atom.

a = 5.2155 Å, b = 5.2155 Å, c = 13.3090 Å
α = 90.00°, β = 90.00°, γ = 120.00°
Space group R-3m (No. 166, hexagonal axes)
Inequivalent atoms, fractional coordinates:
Os: 0.0000 0.5000 0.0000 [9 per cell]
Pt: 0.0000 0.0000 0.5000 [3 per cell]
W: 0.0000 0.0000 0.0000 [3 per cell]

---

[3]
# KRbCl2F6

A relaxed structure of KRbCl2F6 (PBE, Alexandria via LeMat-Bulk).

## Properties
The formation energy without anion corrections comes out at -1.188 eV/atom.

a = 6.4466 Å, b = 6.4466 Å, c = 19.8602 Å
α = 90.00°, β = 90.00°, γ = 120.00°
Space group R-3 (No. 148, hexagonal axes)
Inequivalent atoms, fractional coordinates:
K: 0.0000 0.0000 0.0000 [3 per cell]
Rb: 0.0000 0.0000 0.5000 [3 per cell]
Cl: 0.0000 0.0000 0.2534 [6 per cell]
F: 0.0123 0.3163 0.7471 [18 per cell]

---

[4]
# VHRuRh2

A relaxed structure of VHRuRh2 (PBE, Alexandria via LeMat-Bulk).

## Properties
As for the polymorph energy (0 for the lowest one): 32 meV/atom.

a = 3.8089 Å, b = 3.8089 Å, c = 3.9626 Å
α = 90.00°, β = 90.00°, γ = 90.00°
Space group P4/mmm (No. 123)
Inequivalent atoms, fractional coordinates:
V: 0.0000 0.0000 0.0000 [1 per cell]
H: 0.0000 0.0000 0.5000 [1 per cell]
Ru: 0.5000 0.5000 0.0000 [1 per cell]
Rh: 0.0000 0.5000 0.5000 [2 per cell]

---

[5]
# La3ScGa2O9

A relaxed structure of La3ScGa2O9 (PBE, Alexandria via LeMat-Bulk).

## Properties
The formation energy without anion corrections comes out at -2.868 eV/atom.

a = 5.5994 Å, b = 5.5994 Å, c = 6.9031 Å
α = 90.00°, β = 90.00°, γ = 120.00°
Space group P-3m1 (No. 164)
Inequivalent atoms, fractional coordinates:
La: 0.0000 0.0000 0.0000 [1 per cell]
La: 0.3333 0.6667 0.6840 [2 per cell]
Sc: 0.0000 0.0000 0.5000 [1 per cell]
Ga: 0.3333 0.6667 0.1681 [2 per cell]
O: 0.0000 0.5000 0.0000 [3 per cell]
O: 0.1687 0.3374 0.3244 [6 per cell]

---

[6]
# Th2Ga3Tc2

A relaxed structure of Th2Ga3Tc2 (PBE, Alexandria via LeMat-Bulk).

## Properties
The energy is -6.7788 eV per atom.

a = 9.9381 Å, b = 4.2063 Å, c = 7.3224 Å
α = 90.00°, β = 111.72°, γ = 90.00°
Space group C2/m (No. 12)
Inequivalent atoms, fractional coordinates:
Th: 0.1467 0.0000 0.2676 [4 per cell]
Ga: 0.0000 0.5000 0.5000 [2 per cell]
Ga: 0.1329 0.5000 0.9436 [4 per cell]
Tc: 0.1253 0.0000 0.7021 [4 per cell]

---

[7]
# SrZr2Te

A relaxed structure of SrZr2Te (PBE, Alexandria via LeMat-Bulk).

## Properties
The formation energy without anion corrections comes out at -0.322 eV/atom.

a = 3.7095 Å, b = 3.7403 Å, c = 8.2928 Å
α = 90.00°, β = 90.00°, γ = 90.00°
Space group Pmm2 (No. 25)
Inequivalent atoms, fractional coordinates:
Sr: 0.0000 0.0000 0.0000 [1 per cell]
Zr: 0.0000 0.0000 0.5275 [1 per cell]
Zr: 0.5000 0.5000 0.3257 [1 per cell]
Te: 0.5000 0.5000 0.7076 [1 per cell]

---

[8]
# TiCuP2Rh

A relaxed structure of TiCuP2Rh (PBE, Alexandria via LeMat-Bulk).

## Properties
The energy is -5.4092 eV per atom.

a = 4.4817 Å, b = 4.4817 Å, c = 4.8688 Å
α = 90.00°, β = 90.00°, γ = 90.00°
Space group P4/mmm (No. 123)
Inequivalent atoms, fractional coordinates:
Ti: 0.0000 0.0000 0.0000 [1 per cell]
Cu: 0.5000 0.5000 0.0000 [1 per cell]
P: 0.0000 0.5000 0.5000 [2 per cell]
Rh: 0.0000 0.0000 0.5000 [1 per cell]

---

[9]
# KI2Br2

A relaxed structure of KI2Br2 (PBE, Alexandria via LeMat-Bulk).

## Properties
As for the polymorph energy (0 for the lowest one): 101 meV/atom. The formation energy without anion corrections comes out at -0.530 eV/atom.

a = 4.5285 Å, b = 4.5285 Å, c = 21.2391 Å
α = 90.00°, β = 90.00°, γ = 90.00°
Space group I4/mmm (No. 139)
Inequivalent atoms, fractional coordinates:
K: 0.0000 0.0000 0.0000 [2 per cell]
I: 0.0000 0.5000 0.2500 [4 per cell]
Br: 0.0000 0.0000 0.4314 [4 per cell]

---

[10]
# Zr2GePd8

A relaxed structure of Zr2GePd8 (PBE, Alexandria via LeMat-Bulk).

## Properties
The energy is -6.3937 eV per atom.

a = 4.6371 Å, b = 5.7718 Å, c = 13.7485 Å
α = 90.00°, β = 90.00°, γ = 90.00°
Space group Immm (No. 71)
Inequivalent atoms, fractional coordinates:
Zr: 0.0000 0.0000 0.1887 [4 per cell]
Ge: 0.0000 0.0000 0.5000 [2 per cell]
Pd: 0.0000 0.2497 0.0000 [4 per cell]
Pd: 0.0000 0.2605 0.3649 [8 per cell]
Pd: 0.0000 0.5000 0.1858 [4 per cell]

---

[11]
# Ca2La2Cd

A relaxed structure of Ca2La2Cd (PBE, Alexandria via LeMat-Bulk).

## Properties
As for the polymorph energy (0 for the lowest one): 226 meV/atom.

a = 8.1122 Å, b = 8.1122 Å, c = 5.7886 Å
α = 90.00°, β = 90.00°, γ = 90.00°
Space group P4/mbm (No. 127)
Inequivalent atoms, fractional coordinates:
Ca: 0.1701 0.3299 0.0000 [4 per cell]
La: 0.1284 0.6284 0.5000 [4 per cell]
Cd: 0.0000 0.0000 0.5000 [2 per cell]

---

[12]
# TbY4Er3S8

A relaxed structure of TbY4Er3S8 (PBE, Alexandria via LeMat-Bulk).

## Properties
The formation energy without anion corrections comes out at -1.978 eV/atom.

a = 7.7977 Å, b = 7.7977 Å, c = 19.1223 Å
α = 90.00°, β = 90.00°, γ = 120.00°
Space group R-3m (No. 166, hexagonal axes)
Inequivalent atoms, fractional coordinates:
Tb: 0.0000 0.0000 0.0000 [3 per cell]
Y: 0.0000 0.0000 0.5000 [3 per cell]
Y: 0.0000 0.5000 0.5000 [9 per cell]
Er: 0.0000 0.5000 0.0000 [9 per cell]
S: 0.0000 0.0000 0.2519 [6 per cell]
S: 0.0030 0.5015 0.2512 [18 per cell]